Entry 1:
VASP calculation (PBE) on a relaxed PuTlCd2Cl8 crystal.

formation energy from raw total energies = -1309.6 meV per atom

CIF file:
```
data_PuTlCd2Cl8
_chemical_formula_sum 'Pu1 Tl1 Cd2 Cl8'
_cell_length_a 6.546
_cell_length_b 6.659
_cell_length_c 9.101
_cell_angle_alpha 81.58
_cell_angle_beta 81.08
_cell_angle_gamma 81.92
_space_group_name_H-M_alt 'P -1'
_space_group_IT_number 2
_space_group_name_Hall '-P 1'
loop_
_atom_site_label
_atom_site_fract_x
_atom_site_fract_y
_atom_site_fract_z
Pu1 0.000 0.000 0.000
Tl1 0.000 0.000 0.500
Cd1 0.448 0.456 0.718
Cl1 0.205 0.769 0.219
Cl2 0.252 0.814 0.777
Cl3 0.260 0.291 0.969
Cl4 0.313 0.337 0.501
```



Entry 2:
VASP calculation (PBE) on a relaxed CoRuCl2 crystal.

formation energy from raw total energies = 557.4 meV per atom
energy above the most stable polymorph in this dataset = 12.184 kcal/mol of atoms

CIF file:
```
data_CoRuCl2
_chemical_formula_sum 'Co2 Ru2 Cl4'
_cell_length_a 2.954
_cell_length_b 5.595
_cell_length_c 7.810
_cell_angle_alpha 90.00
_cell_angle_beta 90.00
_cell_angle_gamma 90.00
_space_group_name_H-M_alt 'C m m m'
_space_group_IT_number 65
_space_group_name_Hall '-C 2 2'
loop_
_atom_site_label
_atom_site_fract_x
_atom_site_fract_y
_atom_site_fract_z
Co1 0.000 0.000 0.000
Ru1 0.000 0.000 0.500
Cl1 0.000 0.500 0.233
```



Entry 3:
VASP calculation (PBE) on a relaxed ScFeAu4 crystal.

formation energy from the elements = 0.03 eV/atom

CIF file:
```
data_ScFeAu4
_chemical_formula_sum 'Sc4 Fe4 Au16'
_cell_length_a 7.701
_cell_length_b 7.701
_cell_length_c 7.701
_cell_angle_alpha 90.00
_cell_angle_beta 90.00
_cell_angle_gamma 90.00
_space_group_name_H-M_alt 'F -4 3 m'
_space_group_IT_number 216
_space_group_name_Hall 'F -4 2 3'
loop_
_atom_site_label
_atom_site_fract_x
_atom_site_fract_y
_atom_site_fract_z
Sc1 0.000 0.000 0.000
Fe1 0.250 0.250 0.250
Au1 0.125 0.125 0.625
```



Entry 4:
VASP calculation (PBE) on a relaxed YSiNi crystal.

formation energy from raw total energies = 311.5 meV per atom

CIF file:
```
data_YSiNi
_chemical_formula_sum 'Y4 Si4 Ni4'
_cell_length_a 6.416
_cell_length_b 6.416
_cell_length_c 6.416
_cell_angle_alpha 90.00
_cell_angle_beta 90.00
_cell_angle_gamma 90.00
_space_group_name_H-M_alt 'F -4 3 m'
_space_group_IT_number 216
_space_group_name_Hall 'F -4 2 3'
loop_
_atom_site_label
_atom_site_fract_x
_atom_site_fract_y
_atom_site_fract_z
Y1 0.000 0.000 0.000
Si1 0.250 0.250 0.750
Ni1 0.250 0.250 0.250
```



Entry 5:
VASP calculation (PBE) on a relaxed SrPmLuMg crystal.

formation energy from the elements = 0.13 eV/atom

CIF file:
```
data_SrPmLuMg
_chemical_formula_sum 'Sr4 Pm4 Lu4 Mg4'
_cell_length_a 8.110
_cell_length_b 8.110
_cell_length_c 8.110
_cell_angle_alpha 90.00
_cell_angle_beta 90.00
_cell_angle_gamma 90.00
_space_group_name_H-M_alt 'F -4 3 m'
_space_group_IT_number 216
_space_group_name_Hall 'F -4 2 3'
loop_
_atom_site_label
_atom_site_fract_x
_atom_site_fract_y
_atom_site_fract_z
Sr1 0.000 0.000 0.000
Pm1 0.000 0.000 0.500
Lu1 0.250 0.250 0.250
Mg1 0.250 0.250 0.750
```



Number 1: calculated total energy -4.08 eV/atom. Number 2: calculated total energy -4.46 eV/atom. Number 3: calculated total energy -4.62 eV/atom. Number 4: calculated total energy -5.58 eV/atom. Number 5: calculated total energy -3.00 eV/atom.